Record 1
! MgOs2Rh | Alexandria | GGA-PBE | relaxed; values from VASP
&SYSTEM
  ibrav = 0, nat = 4, ntyp = 3
/
ATOMIC_SPECIES
Mg 24.30 Mg.upf
Os 190.23 Os.upf
Rh 102.91 Rh.upf
CELL_PARAMETERS angstrom
-0.7543 1.4745 -2.2466
-0.1038 -3.2023 -2.0669
-5.3731 -0.6955 1.3475
ATOMIC_POSITIONS angstrom
Mg -4.3748 -1.3746 -1.1672
Os -0.1336 -0.0173 0.0335
Os -1.6533 -1.0224 -1.8497
Rh -2.7561 -0.3568 0.6912
! Crystal system: orthorhombic
! Total energy (eV/f.u.): -31.134



Record 2
! MgOsRh6 | Alexandria | GGA-PBE | relaxed; values from VASP
&SYSTEM
  ibrav = 0, nat = 8, ntyp = 3
/
ATOMIC_SPECIES
Mg 24.30 Mg.upf
Os 190.23 Os.upf
Rh 102.91 Rh.upf
CELL_PARAMETERS angstrom
-0.6756 3.3614 -1.7581
-3.2730 0.3863 1.9962
3.8632 3.7136 5.6156
ATOMIC_POSITIONS angstrom
Mg 0.0000 0.0000 0.0000
Os 1.9316 1.8568 2.8078
Rh -1.9743 1.8739 0.1190
Rh -0.0427 3.7306 2.9268
Rh 0.6631 2.6429 0.5759
Rh 2.5245 4.4321 3.2816
Rh -0.6356 1.1553 2.4531
Rh 1.2258 2.9446 5.1588
! Crystal system: tetragonal
! Total energy (eV/f.u.): -57.861



Record 3
! Mg2OsRh | Alexandria | GGA-PBE | relaxed; values from VASP
&SYSTEM
  ibrav = 0, nat = 4, ntyp = 3
/
ATOMIC_SPECIES
Mg 24.30 Mg.upf
Os 190.23 Os.upf
Rh 102.91 Rh.upf
CELL_PARAMETERS angstrom
5.2658 0.0028 0.0305
4.5261 2.6913 0.0305
1.7685 0.4866 4.4720
ATOMIC_POSITIONS angstrom
Mg 1.8059 0.4969 4.1219
Mg 2.8675 0.7890 1.4546
Os 5.4778 1.5072 1.9911
Rh 8.9577 2.4647 3.7037
! Crystal system: monoclinic
! Energy above the lowest structure with this stoichiometry (eV/f.u.): 0.00
! Total energy (eV/f.u.): -22.140



Record 4
! Mg2OsRh | Alexandria | GGA-PBE | relaxed; values from VASP
&SYSTEM
  ibrav = 0, nat = 4, ntyp = 3
/
ATOMIC_SPECIES
Mg 24.30 Mg.upf
Os 190.23 Os.upf
Rh 102.91 Rh.upf
CELL_PARAMETERS angstrom
-2.1362 -1.0449 -8.6055
0.6307 -1.7223 -8.7376
-1.2899 -3.7045 -8.0202
ATOMIC_POSITIONS angstrom
Mg -0.0053 -0.0124 -0.0485
Mg -1.3923 -3.2235 -12.6332
Os -0.6988 -1.6179 -6.3408
Rh -2.0965 -4.8538 -19.0225
! Crystal system: trigonal
! Energy above the lowest structure with this stoichiometry (eV/f.u.): 0.35
! Total energy (eV/f.u.): -21.794



Record 5
! MgOs2Rh | Alexandria | GGA-PBE | relaxed; values from VASP
&SYSTEM
  ibrav = 0, nat = 4, ntyp = 3
/
ATOMIC_SPECIES
Mg 24.30 Mg.upf
Os 190.23 Os.upf
Rh 102.91 Rh.upf
CELL_PARAMETERS angstrom
-1.1894 -1.2728 -2.1055
-1.2977 -0.0715 2.4039
-4.3957 7.6565 -2.1452
ATOMIC_POSITIONS angstrom
Mg -4.5193 5.0336 -1.4494
Os -0.0203 0.0354 -0.0099
Os -2.3365 1.2316 -0.3842
Rh -2.2045 3.8398 -1.0758
! Crystal system: orthorhombic
! Total energy (eV/f.u.): -30.022



Record 6
! Mg2OsRh | Alexandria | GGA-PBE | relaxed; values from VASP
&SYSTEM
  ibrav = 0, nat = 4, ntyp = 3
/
ATOMIC_SPECIES
Mg 24.30 Mg.upf
Os 190.23 Os.upf
Rh 102.91 Rh.upf
CELL_PARAMETERS angstrom
2.7566 0.0000 0.0000
0.0000 4.0147 0.0000
0.0000 0.0000 5.6230
ATOMIC_POSITIONS angstrom
Mg 0.0000 0.0000 5.6151
Mg 0.0000 0.0000 2.8194
Os 1.3783 2.0073 1.4057
Rh 1.3783 2.0073 4.2172
! Crystal system: orthorhombic
! Energy above the lowest structure with this stoichiometry (eV/f.u.): 0.55
! Total energy (eV/f.u.): -21.588